# TbPrCoIr

A relaxed TbPrCoIr crystal (PBE, Alexandria).

Geometry as POSCAR:
```
TbPrCoIr
1.0
6.9581 0.0000 0.0000
0.0000 6.9581 0.0000
0.0000 0.0000 6.9581
Tb Pr Co Ir
4 4 4 4
direct
0.0000 0.0000 0.0000
0.0000 0.5000 0.5000
0.5000 0.0000 0.5000
0.5000 0.5000 0.0000
0.0000 0.0000 0.5000
0.0000 0.5000 0.0000
0.5000 0.0000 0.0000
0.5000 0.5000 0.5000
0.2500 0.2500 0.2500
0.2500 0.7500 0.7500
0.7500 0.2500 0.7500
0.7500 0.7500 0.2500
0.2500 0.2500 0.7500
0.2500 0.7500 0.2500
0.7500 0.2500 0.2500
0.7500 0.7500 0.7500
```

Results
The total magnetization is 0.56 μB/f.u. Its density of states at the Fermi level is 1.06 states/eV/f.u. As for the total energy: -106.90 eV per cell. As for the formation energy: -0.34 eV per atom.

=====

# PrYCoIr

A relaxed PrYCoIr crystal (PBE, Alexandria).

Geometry as POSCAR:
```
PrYCoIr
1.0
6.9540 0.0000 0.0000
0.0000 6.9540 0.0000
0.0000 0.0000 6.9540
Pr Y Co Ir
4 4 4 4
direct
0.0000 0.0000 0.0000
0.0000 0.5000 0.5000
0.5000 0.0000 0.5000
0.5000 0.5000 0.0000
0.0000 0.0000 0.5000
0.0000 0.5000 0.0000
0.5000 0.0000 0.0000
0.5000 0.5000 0.5000
0.2500 0.2500 0.7500
0.2500 0.7500 0.2500
0.7500 0.2500 0.2500
0.7500 0.7500 0.7500
0.2500 0.2500 0.2500
0.2500 0.7500 0.7500
0.7500 0.2500 0.7500
0.7500 0.7500 0.2500
```

Results
The total magnetization is 0.56 μB/f.u. Its density of states at the Fermi level is 1.07 states/eV/f.u. As for the total energy: -114.24 eV per cell. As for the formation energy: -0.34 eV per atom.

=====

# Co10IrPt6

A relaxed Co10IrPt6 crystal (PBE, Alexandria).

Geometry as POSCAR:
```
Co10IrPt6
1.0
7.2611 0.0000 0.0000
-3.6306 6.2883 0.0000
0.0000 0.0000 5.0617
Co Ir Pt
10 1 6
direct
0.0000 0.2829 0.1734
0.0000 0.7171 0.8266
0.2829 0.0000 0.1734
0.2829 0.2829 0.8266
0.3333 0.6667 0.0000
0.3333 0.6667 0.5000
0.6667 0.3333 0.0000
0.6667 0.3333 0.5000
0.7171 0.0000 0.8266
0.7171 0.7171 0.1734
0.0000 0.0000 0.5000
0.0000 0.3710 0.7002
0.0000 0.6290 0.2998
0.3710 0.0000 0.7002
0.3710 0.3710 0.2998
0.6290 0.0000 0.2998
0.6290 0.6290 0.7002
```

Results
The total magnetization is 22.19 μB/f.u. Its density of states at the Fermi level is 19.36 states/eV/f.u. As for the total energy: -114.09 eV per cell. As for the formation energy: 0.12 eV per atom.

=====

# Co2IrPt

A relaxed Co2IrPt crystal (PBE, Alexandria).

Geometry as POSCAR:
```
Co2IrPt
1.0
3.8105 0.0000 0.0000
0.0000 3.8105 0.0000
0.0000 0.0000 7.2881
Co Ir Pt
4 2 2
direct
0.0000 0.5000 0.2500
0.0000 0.5000 0.7500
0.5000 0.0000 0.2500
0.5000 0.0000 0.7500
0.0000 0.0000 0.0000
0.5000 0.5000 0.5000
0.0000 0.0000 0.5000
0.5000 0.5000 0.0000
```

Results
The total magnetization is 4.50 μB/f.u. Its density of states at the Fermi level is 6.40 states/eV/f.u. The calculation puts the energy above the most stable polymorph in this dataset at 13 meV per atom. As for the total energy: -58.11 eV per cell. As for the formation energy: 0.01 eV per atom.

=====

Please write out number 3 again, unchanged.
# Co10IrPt6

A relaxed Co10IrPt6 crystal (PBE, Alexandria).

Geometry as POSCAR:
```
Co10IrPt6
1.0
7.2611 0.0000 0.0000
-3.6306 6.2883 0.0000
0.0000 0.0000 5.0617
Co Ir Pt
10 1 6
direct
0.0000 0.2829 0.1734
0.0000 0.7171 0.8266
0.2829 0.0000 0.1734
0.2829 0.2829 0.8266
0.3333 0.6667 0.0000
0.3333 0.6667 0.5000
0.6667 0.3333 0.0000
0.6667 0.3333 0.5000
0.7171 0.0000 0.8266
0.7171 0.7171 0.1734
0.0000 0.0000 0.5000
0.0000 0.3710 0.7002
0.0000 0.6290 0.2998
0.3710 0.0000 0.7002
0.3710 0.3710 0.2998
0.6290 0.0000 0.2998
0.6290 0.6290 0.7002
```

Results
The total magnetization is 22.19 μB/f.u. Its density of states at the Fermi level is 19.36 states/eV/f.u. As for the total energy: -114.09 eV per cell. As for the formation energy: 0.12 eV per atom.